VASP calculation (PBE-GGA) on a geometry-optimized CdGa2Pd structure.

The structure belongs to space group P4/mmm (No. 123); the cell edges are 3.050, 3.050 and 7.799 Å and the angles 90.00°, 90.00° and 90.00°. Symmetry generates all atoms from Cd at (0.000, 0.000, 0.000), Ga at (0.500, 0.500, 0.290) and Pd at (0.000, 0.000, 0.500).

As for the uncorrected energy: -3.258 eV per atom. Its total magnetization is 0.00 μB per formula unit. The crystal system is tetragonal.

***

VASP calculation (PBE-GGA) on a geometry-optimized Cd3Ga4Pd4 structure.

The structure belongs to space group Immm (No. 71); the cell edges are 3.122, 8.539 and 14.688 Å and the angles 90.00°, 90.00° and 90.00°. Symmetry generates all atoms from Cd at (0.000, 0.000, 0.000), Cd at (0.000, 0.500, 0.100), Ga at (0.000, 0.291, 0.330), Pd at (0.000, 0.000, 0.241) and Pd at (0.000, 0.225, 0.500).

As for the uncorrected energy: -3.608 eV per atom. Its total magnetization is 0.00 μB per formula unit. The crystal system is orthorhombic.

***

VASP calculation (PBE-GGA) on a geometry-optimized CdGaPd4 structure.

The structure belongs to space group Pnma (No. 62); the cell edges are 7.382, 2.953 and 17.657 Å and the angles 90.00°, 90.00° and 90.00°. Symmetry generates all atoms from Cd at (0.218, 0.250, 0.186), Ga at (0.249, 0.250, 0.950), Pd at (0.032, 0.750, 0.568), Pd at (0.036, 0.750, 0.296), Pd at (0.107, 0.750, 0.056) and Pd at (0.150, 0.750, 0.839).

As for the uncorrected energy: -4.547 eV per atom. Its total magnetization is 0.00 μB per formula unit. For the relative energy among the computed polymorphs, the calculation gives 0.0000 eV/atom. The crystal system is orthorhombic.

***

VASP calculation (PBE-GGA) on a geometry-optimized CdGa6Pd12 structure.

The structure belongs to space group R-3 (No. 148, hexagonal axes); the cell edges are 11.0121, 11.0121 and 9.8618 Å and the angles 90.00°, 90.00° and 120.00°. Symmetry generates all atoms from Cd at (0.0000, 0.0000, 0.0000), Ga at (0.0459, 0.2126, 0.6807), Pd at (0.0471, 0.2562, 0.9289) and Pd at (0.0586, 0.2443, 0.4235).

As for the uncorrected energy: -4.667 eV per atom. Its total magnetization is 0.00 μB per formula unit. The crystal system is trigonal.

***

VASP calculation (PBE-GGA) on a geometry-optimized CdGaPd2 structure.

The structure belongs to space group P4/mmm (No. 123); the cell edges are 4.423, 4.423 and 3.334 Å and the angles 90.00°, 90.00° and 90.00°. Symmetry generates all atoms from Cd at (0.000, 0.000, 0.000), Ga at (0.500, 0.500, 0.000) and Pd at (0.000, 0.500, 0.500).

As for the uncorrected energy: -4.034 eV per atom. Its total magnetization is 0.00 μB per formula unit. The crystal system is tetragonal.

***

VASP calculation (PBE-GGA) on a geometry-optimized Cd3GaPd6 structure.

The structure belongs to space group Cmc2_1 (No. 36); the cell edges are 11.101, 13.560 and 4.662 Å and the angles 90.00°, 90.00° and 90.00°. Symmetry generates all atoms from Cd at (0.000, 0.121, 0.000), Cd at (0.224, 0.403, 0.477), Ga at (0.000, 0.371, 0.154), Pd at (0.000, 0.244, 0.517), Pd at (0.000, 0.444, 0.677), Pd at (0.131, 0.067, 0.490) and Pd at (0.180, 0.284, 0.966).

As for the uncorrected energy: -3.976 eV per atom. Its total magnetization is 0.00 μB per formula unit. For the relative energy among the computed polymorphs, the calculation gives 0.1360 eV/atom. The crystal system is orthorhombic.

***

VASP calculation (PBE-GGA) on a geometry-optimized CdGa3Pd2 structure.

The structure belongs to space group C2/m (No. 12); the cell edges are 18.049, 4.099 and 10.509 Å and the angles 90.00°, 125.41° and 90.00°. Symmetry generates all atoms from Cd at (0.000, 0.000, 0.000), Cd at (0.161, 0.000, 0.666), Ga at (0.000, 0.500, 0.500), Ga at (0.009, 0.000, 0.703), Ga at (0.132, 0.500, 0.193), Ga at (0.197, 0.500, 0.961), Ga at (0.203, 0.000, 0.398), Pd at (0.042, 0.500, 0.885), Pd at (0.117, 0.500, 0.430) and Pd at (0.200, 0.000, 0.139).

As for the uncorrected energy: -3.753 eV per atom. Its total magnetization is 0.00 μB per formula unit. The crystal system is monoclinic.

***

VASP calculation (PBE-GGA) on a geometry-optimized CdGaPd structure.

The structure belongs to space group C2/m (No. 12); the cell edges are 8.959, 3.434 and 7.200 Å and the angles 90.00°, 102.85° and 90.00°. Symmetry generates all atoms from Cd at (0.156, 0.000, 0.099), Ga at (0.127, 0.500, 0.412) and Pd at (0.102, 0.000, 0.688).

As for the uncorrected energy: -3.409 eV per atom. Its total magnetization is 0.00 μB per formula unit. The crystal system is monoclinic.

***

VASP calculation (PBE-GGA) on a geometry-optimized Cd6GaPd structure.

The structure belongs to space group C2/m (No. 12); the cell edges are 6.253, 10.892 and 5.968 Å and the angles 90.00°, 118.11° and 90.00°. Symmetry generates all atoms from Cd at (0.008, 0.000, 0.254), Cd at (0.011, 0.279, 0.752), Ga at (0.000, 0.500, 0.000) and Pd at (0.000, 0.500, 0.500).

As for the uncorrected energy: -1.721 eV per atom. Its total magnetization is 0.00 μB per formula unit. The crystal system is monoclinic.

***

VASP calculation (PBE-GGA) on a geometry-optimized Cd3GaPd6 structure.

The structure belongs to space group P2_1/m (No. 11); the cell edges are 7.748, 4.623 and 9.779 Å and the angles 90.00°, 108.78° and 90.00°. Symmetry generates all atoms from Cd at (0.032, 0.250, 0.387), Cd at (0.131, 0.750, 0.213), Cd at (0.274, 0.250, 0.992), Ga at (0.454, 0.250, 0.596), Pd at (0.046, 0.750, 0.917), Pd at (0.179, 0.250, 0.685), Pd at (0.272, 0.750, 0.511), Pd at (0.351, 0.750, 0.818), Pd at (0.359, 0.250, 0.313) and Pd at (0.439, 0.750, 0.131).

As for the uncorrected energy: -4.112 eV per atom. Its total magnetization is 0.00 μB per formula unit. For the relative energy among the computed polymorphs, the calculation gives 0.0000 eV/atom. The crystal system is monoclinic.

***

VASP calculation (PBE-GGA) on a geometry-optimized Cd2GaPd2 structure.

The structure belongs to space group P4/mbm (No. 127); the cell edges are 7.973, 7.973 and 2.994 Å and the angles 90.00°, 90.00° and 90.00°. Symmetry generates all atoms from Cd at (0.159, 0.341, 0.000), Ga at (0.000, 0.000, 0.000) and Pd at (0.136, 0.636, 0.500).

As for the uncorrected energy: -3.217 eV per atom. Its total magnetization is 0.00 μB per formula unit. For the relative energy among the computed polymorphs, the calculation gives 0.2257 eV/atom. The crystal system is tetragonal.

***

VASP calculation (PBE-GGA) on a geometry-optimized CdGa2Pd structure.

The structure belongs to space group R3m (No. 160, hexagonal axes); the cell edges are 3.1167, 3.1167 and 25.8818 Å and the angles 90.00°, 90.00° and 120.00°. Symmetry generates all atoms from Cd at (0.0000, 0.0000, 0.0000), Ga at (0.0000, 0.0000, 0.5738), Ga at (0.0000, 0.0000, 0.7590) and Pd at (0.0000, 0.0000, 0.1653).

As for the uncorrected energy: -3.262 eV per atom. Its total magnetization is 0.00 μB per formula unit. The crystal system is trigonal.

***

VASP calculation (PBE-GGA) on a geometry-optimized Pm2CdGa4Pd3 structure.

The structure belongs to space group P-4m2 (No. 115); the cell edges are 4.280, 4.280 and 10.884 Å and the angles 90.00°, 90.00° and 90.00°. Symmetry generates all atoms from Pm at (0.000, 0.500, 0.235), Cd at (0.000, 0.000, 0.500), Ga at (0.000, 0.000, 0.000), Ga at (0.000, 0.500, 0.646), Ga at (0.500, 0.500, 0.000), Pd at (0.000, 0.500, 0.872) and Pd at (0.500, 0.500, 0.500).

As for the uncorrected energy: -4.507 eV per atom. Its total magnetization is 0.00 μB per formula unit. The crystal system is tetragonal.

***

VASP calculation (PBE-GGA) on a geometry-optimized Pm2CdGa2Pd5 structure.

The structure belongs to space group P4/mbm (No. 127); the cell edges are 10.084, 10.084 and 3.752 Å and the angles 90.00°, 90.00° and 90.00°. Symmetry generates all atoms from Pm at (0.178, 0.322, 0.000), Cd at (0.000, 0.000, 0.000), Ga at (0.120, 0.620, 0.000), Pd at (0.000, 0.500, 0.500) and Pd at (0.064, 0.788, 0.500).

As for the uncorrected energy: -4.919 eV per atom. Its total magnetization is 0.00 μB per formula unit. The crystal system is tetragonal.

***

VASP calculation (PBE-GGA) on a geometry-optimized PmCdGa2Pd2 structure.

The structure belongs to space group P-3m1 (No. 164); the cell edges are 4.4676, 4.4676 and 6.7569 Å and the angles 90.00°, 90.00° and 120.00°. Symmetry generates all atoms from Pm at (0.0000, 0.0000, 0.0000), Cd at (0.0000, 0.0000, 0.5000), Ga at (0.3333, 0.6667, 0.2733) and Pd at (0.3333, 0.6667, 0.6921).

As for the uncorrected energy: -4.319 eV per atom. Its total magnetization is 0.00 μB per formula unit. The crystal system is trigonal.

***

VASP calculation (PBE-GGA) on a geometry-optimized PrCdGa2Pd2 structure.

The structure belongs to space group P-3m1 (No. 164); the cell edges are 4.4640, 4.4640 and 6.9188 Å and the angles 90.00°, 90.00° and 120.00°. Symmetry generates all atoms from Pr at (0.0000, 0.0000, 0.0000), Cd at (0.0000, 0.0000, 0.5000), Ga at (0.3333, 0.6667, 0.7269) and Pd at (0.3333, 0.6667, 0.3231).

As for the uncorrected energy: -4.321 eV per atom. Its total magnetization is 0.00 μB per formula unit. The crystal system is trigonal.

***

VASP calculation (PBE-GGA) on a geometry-optimized PrCdGaPd structure.

The structure belongs to space group F-43m (No. 216); the cell edges are 7.005, 7.005 and 7.005 Å and the angles 90.00°, 90.00° and 90.00°. Symmetry generates all atoms from Pr at (0.000, 0.000, 0.000), Cd at (0.000, 0.000, 0.500), Ga at (0.250, 0.250, 0.250) and Pd at (0.250, 0.250, 0.750).

As for the uncorrected energy: -4.003 eV per atom. Its total magnetization is 0.00 μB per formula unit. The crystal system is cubic.

***

VASP calculation (PBE-GGA) on a geometry-optimized Pr2CdGa2Pd5 structure.

The structure belongs to space group P4/mbm (No. 127); the cell edges are 10.201, 10.201 and 3.736 Å and the angles 90.00°, 90.00° and 90.00°. Symmetry generates all atoms from Pr at (0.178, 0.322, 0.000), Cd at (0.000, 0.000, 0.000), Ga at (0.120, 0.620, 0.000), Pd at (0.000, 0.500, 0.500) and Pd at (0.063, 0.788, 0.500).

As for the uncorrected energy: -4.902 eV per atom. Its total magnetization is 0.00 μB per formula unit. The crystal system is tetragonal.

***

VASP calculation (PBE-GGA) on a geometry-optimized PrCd2GaPd4 structure.

The structure belongs to space group R-3m (No. 166, hexagonal axes); the cell edges are 4.7027, 4.7027 and 23.4802 Å and the angles 90.00°, 90.00° and 120.00°. Symmetry generates all atoms from Pr at (0.0000, 0.0000, 0.0000), Cd at (0.0000, 0.0000, 0.2498), Ga at (0.0000, 0.0000, 0.5000), Pd at (0.0000, 0.0000, 0.1311) and Pd at (0.0000, 0.0000, 0.3938).

As for the uncorrected energy: -4.335 eV per atom. Its total magnetization is 0.00 μB per formula unit. The crystal system is trigonal.

***

VASP calculation (PBE-GGA) on a geometry-optimized PrCd2GaPd2 structure.

The structure belongs to space group I4/mmm (No. 139); the cell edges are 5.302, 5.302 and 10.574 Å and the angles 90.00°, 90.00° and 90.00°. Symmetry generates all atoms from Pr at (0.000, 0.000, 0.000), Cd at (0.000, 0.500, 0.250), Ga at (0.000, 0.000, 0.500) and Pd at (0.000, 0.000, 0.275).

As for the uncorrected energy: -3.585 eV per atom. Its total magnetization is 0.00 μB per formula unit. The crystal system is tetragonal.

***

VASP calculation (PBE-GGA) on a geometry-optimized PuCdGaPd structure.

The structure belongs to space group F-43m (No. 216); the cell edges are 6.893, 6.893 and 6.893 Å and the angles 90.00°, 90.00° and 90.00°. Symmetry generates all atoms from Pu at (0.000, 0.000, 0.000), Cd at (0.000, 0.000, 0.500), Ga at (0.250, 0.250, 0.250) and Pd at (0.250, 0.250, 0.750).

As for the uncorrected energy: -6.159 eV per atom. Its total magnetization is 5.23 μB per formula unit. The crystal system is cubic.